First-principles (PBE) data for a geometry-optimized Sb2TePb structure, as listed in the Alexandria database.

Crystal system: trigonal
Energy relative to the lowest polymorph listed for this composition, meV per atom: 227
Formation energy without anion corrections, meV/atom: 84

abc: 4.5312 4.5312 21.4088
angles: 90.00 90.00 120.00
With the nearest neighbours (Å) after each atom.
Space group R-3m (No. 166, hexagonal axes)
One atom of each set of equivalent atoms:
1 Sb 0.0000 0.0000 0.2504 x6  3 Te 3.16, 3 Pb 3.17
2 Te 0.0000 0.0000 0.0000 x3  6 Sb 3.16
3 Pb 0.0000 0.0000 0.5000 x3  6 Sb 3.17


First-principles (PBE) data for a geometry-optimized TmGa4Ag8 structure, as listed in the Alexandria database.

Crystal system: tetragonal
Calculated formation energy, eV/atom: -0.107

abc: 9.3774 9.3774 5.3409
angles: 90.00 90.00 90.00
With the nearest neighbours (Å) after each atom.
Space group I4/mmm (No. 139)
One atom of each set of equivalent atoms:
1 Tm 0.0000 0.0000 0.0000 x2  12 Ag 3.24-3.34, 8 Ga 3.57
2 Ga 0.2500 0.2500 0.2500 x8  2 Ga 2.67, 8 Ag 2.72-2.84
3 Ag 0.0000 0.2141 0.5000 x8  4 Ga 2.72, 4 Ag 2.84-2.94
4 Ag 0.0000 0.3454 0.0000 x8  4 Ga 2.84, 5 Ag 2.90-3.05